# 1
Below is a geometry-optimized HoZnGa2Au structure, with properties calculated at the GGA-PBE level.

Results
The calculation puts the formation energy at -0.289 eV per atom. The value obtained for the total magnetization is 0.000 Bohr magnetons per cell. The calculation puts the density of states at the Fermi level at 0.4604 states/eV per atom.

Geometry as CIF:
```
data_HoZnGa2Au
_space_group_name_H-M_alt 'C m m e'
_space_group_IT_number 67
_space_group_name_Hall '-C 2a 2'
_cell_length_a 5.856
_cell_length_b 11.879
_cell_length_c 5.805
_cell_angle_alpha 90.00
_cell_angle_beta 90.00
_cell_angle_gamma 90.00
loop_
_atom_site_label
_atom_site_fract_x
_atom_site_fract_y
_atom_site_fract_z
Ho1 0.000 0.250 0.242
Zn1 0.000 0.000 0.000
Ga1 0.000 0.149 0.725
Au1 0.250 0.000 0.500
```


# 2
Below is a geometry-optimized CeCo3SiB structure, with properties calculated at the GGA-PBE level.

Results
The value obtained for the total magnetization is 0.002 Bohr magnetons per cell. The calculation puts the density of states at the Fermi level at 0.8090 states/eV per atom. As for the uncorrected formation energy: -10.7 kcal/mol of atoms.

Geometry as CIF:
```
data_CeCo3SiB
_space_group_name_H-M_alt 'C m c m'
_space_group_IT_number 63
_space_group_name_Hall '-C 2c 2'
_cell_length_a 5.190
_cell_length_b 10.915
_cell_length_c 5.678
_cell_angle_alpha 90.00
_cell_angle_beta 90.00
_cell_angle_gamma 90.00
loop_
_atom_site_label
_atom_site_fract_x
_atom_site_fract_y
_atom_site_fract_z
Ce1 0.000 0.226 0.250
Co1 0.000 0.324 0.750
Co2 0.248 0.500 0.000
Si1 0.000 0.118 0.750
B1 0.000 0.490 0.250
```


# 3
Below is a geometry-optimized Ac2Pr4Tl3N2 structure, with properties calculated at the GGA-PBE level.

Results
The value obtained for the total magnetization is 0.000 Bohr magnetons per cell. The calculation puts the density of states at the Fermi level at 0.8282 states/eV per atom. As for the uncorrected formation energy: -14.3 kcal/mol of atoms.

Geometry as CIF:
```
data_Ac2Pr4Tl3N2
_space_group_name_H-M_alt 'I 4/m m m'
_space_group_IT_number 139
_space_group_name_Hall '-I 4 2'
_cell_length_a 5.040
_cell_length_b 5.040
_cell_length_c 26.265
_cell_angle_alpha 90.00
_cell_angle_beta 90.00
_cell_angle_gamma 90.00
loop_
_atom_site_label
_atom_site_fract_x
_atom_site_fract_y
_atom_site_fract_z
Ac1 0.000 0.000 0.195
Pr1 0.000 0.500 0.084
Tl1 0.000 0.000 0.329
Tl2 0.000 0.000 0.500
N1 0.000 0.000 0.104
```


# 4
Below is a geometry-optimized TbDy3Bi2 structure, with properties calculated at the GGA-PBE level.

Results
The energy relative to the lowest polymorph listed for this composition is 10.5 kJ per mole of atoms. The calculation puts the formation energy at -0.483 eV per atom. The value obtained for the total magnetization is 0.007 Bohr magnetons per cell. The calculation puts the density of states at the Fermi level at 1.1092 states/eV per atom.

Geometry as CIF:
```
data_TbDy3Bi2
_space_group_name_H-M_alt 'C 1 2/m 1'
_space_group_IT_number 12
_space_group_name_Hall '-C 2y'
_cell_length_a 18.587
_cell_length_b 4.325
_cell_length_c 9.994
_cell_angle_alpha 90.00
_cell_angle_beta 113.89
_cell_angle_gamma 90.00
loop_
_atom_site_label
_atom_site_fract_x
_atom_site_fract_y
_atom_site_fract_z
Tb1 0.110 0.000 0.110
Dy1 0.056 0.000 0.670
Dy2 0.141 0.500 0.478
Dy3 0.188 0.500 0.891
Bi1 0.008 0.500 0.842
Bi2 0.249 0.500 0.283
```


# 5
Below is a geometry-optimized RbTiAu2Br structure, with properties calculated at the GGA-PBE level.

Results
The value obtained for the total magnetization is 1.907 Bohr magnetons per cell. The calculation puts the density of states at the Fermi level at 0.5422 states/eV per atom. As for the uncorrected formation energy: 1.7 kcal/mol of atoms.

Geometry as CIF:
```
data_RbTiAu2Br
_space_group_name_H-M_alt 'P 4/m m m'
_space_group_IT_number 123
_space_group_name_Hall '-P 4 2'
_cell_length_a 5.032
_cell_length_b 5.032
_cell_length_c 10.784
_cell_angle_alpha 90.00
_cell_angle_beta 90.00
_cell_angle_gamma 90.00
loop_
_atom_site_label
_atom_site_fract_x
_atom_site_fract_y
_atom_site_fract_z
Rb1 0.000 0.000 0.000
Ti1 0.000 0.000 0.500
Au1 0.000 0.500 0.500
Br1 0.500 0.500 0.000
```


# 6
Below is a geometry-optimized Ho2GaGe structure, with properties calculated at the GGA-PBE level.

Results
The calculation puts the formation energy at -0.572 eV per atom. The value obtained for the total magnetization is 0.000 Bohr magnetons per cell. The calculation puts the density of states at the Fermi level at 0.8201 states/eV per atom.

Geometry as CIF:
```
data_Ho2GaGe
_space_group_name_H-M_alt 'R -3 m'
_space_group_IT_number 166
_space_group_name_Hall '-R 3 2"'
_cell_length_a 4.6893
_cell_length_b 4.6893
_cell_length_c 15.0058
_cell_angle_alpha 90.00
_cell_angle_beta 90.00
_cell_angle_gamma 120.00
loop_
_atom_site_label
_atom_site_fract_x
_atom_site_fract_y
_atom_site_fract_z
Ho1 0.0000 0.0000 0.2491
Ga1 0.0000 0.0000 0.0000
Ge1 0.0000 0.0000 0.5000
```


Number 3 is which compound? Ac2Pr4Tl3N2